First-principles (PBE-GGA) data for a relaxed structure of Nd6Sn2Te3As, as listed in Alexandria via LeMat-Bulk.

* ΔE_f (raw): -1.260 eV/atom
* symmetry: C2/m (12)
* total magnetization: 0.0 μB per formula unit
* crystal system: monoclinic

```
data_Nd6Sn2Te3As
_space_group_name_H-M_alt 'P 1'
_space_group_IT_number 1
_cell_length_a 4.4711
_cell_length_b 9.0081
_cell_length_c 10.0424
_cell_angle_alpha 103.31
_cell_angle_beta 102.86
_cell_angle_gamma 90.00
loop_
_space_group_symop_operation_xyz
'x,y,z'
loop_
_atom_site_label
_atom_site_type_symbol
_atom_site_fract_x
_atom_site_fract_y
_atom_site_fract_z
Nd1 Nd 0.3407 0.9144 0.6815
Nd2 Nd 0.6681 0.5776 0.3361
Nd3 Nd 0.6593 0.0856 0.3185
Nd4 Nd 0.0021 0.2323 0.0042
Nd5 Nd 0.9979 0.7677 0.9958
Nd6 Nd 0.3319 0.4224 0.6639
Sn1 Sn 0.8340 0.6682 0.6680
Sn2 Sn 0.1660 0.3318 0.3320
Te1 Te 0.5000 0.5000 0.0000
Te2 Te 0.8325 0.1656 0.6650
Te3 Te 0.1675 0.8344 0.3350
As1 As 0.5000 0.0000 0.0000
```